VASP calculation (PBE-GGA) on crystalline BaSm2Se4 at its relaxed geometry.

## Properties
- calculated density (g/cm3) = 5.87
- space-group type = Pnma (62)

Lattice parameters (Å, degrees): 12.8883 4.2892 15.4394 90.00 90.00 90.00
Element x y z (fractional)
Ba 0.7419 0.7500 0.1632
Ba 0.2419 0.7500 0.3368
Ba 0.7581 0.2500 0.6632
Ba 0.2581 0.2500 0.8368
Se 0.6295 0.2500 0.0250
Se 0.9160 0.2500 0.0790
Se 0.2075 0.2500 0.1699
Se 0.4772 0.7500 0.2171
Se 0.9772 0.7500 0.2829
Se 0.7075 0.2500 0.3301
Se 0.4160 0.2500 0.4210
Se 0.1295 0.2500 0.4750
Se 0.8705 0.7500 0.5250
Se 0.5840 0.7500 0.5790
Se 0.2925 0.7500 0.6699
Se 0.0228 0.2500 0.7171
Se 0.5228 0.2500 0.7829
Se 0.7925 0.7500 0.8301
Se 0.0840 0.7500 0.9210
Se 0.3705 0.7500 0.9750
Sm 0.4212 0.2500 0.1007
Sm 0.0690 0.7500 0.1080
Sm 0.5690 0.7500 0.3920
Sm 0.9212 0.2500 0.3993
Sm 0.0788 0.7500 0.6007
Sm 0.4310 0.2500 0.6080
Sm 0.9310 0.2500 0.8920
Sm 0.5788 0.7500 0.8993


VASP calculation (PBE-GGA) on crystalline BaSmTlSe3 at its relaxed geometry.

## Properties
- calculated density (g/cm3) = 5.85
- space-group type = Cmcm (63)

Lattice parameters (Å, degrees): 8.0426 8.0426 12.2795 90.00 90.00 148.58
Element x y z (fractional)
Ba 0.6653 0.3347 0.2500
Ba 0.3347 0.6653 0.7500
Se 0.6258 0.3742 0.0014
Se 0.0081 0.9919 0.2500
Se 0.6258 0.3742 0.4986
Se 0.3742 0.6258 0.5014
Se 0.9919 0.0081 0.7500
Se 0.3742 0.6258 0.9986
Sm 0.0000 0.0000 0.0000
Sm 0.0000 0.0000 0.5000
Tl 0.3724 0.6276 0.2500
Tl 0.6276 0.3724 0.7500


VASP calculation (PBE-GGA) on crystalline BaSrZnSe3 at its relaxed geometry.

## Properties
- calculated density (g/cm3) = 5.04
- space-group type = Pnma (62)

Lattice parameters (Å, degrees): 9.0545 4.3078 17.8262 90.00 90.00 90.00
Element x y z (fractional)
Ba 0.2570 0.2500 0.0407
Ba 0.7570 0.2500 0.4593
Ba 0.2430 0.7500 0.5407
Ba 0.7430 0.7500 0.9593
Se 0.6188 0.2500 0.0787
Se 0.0021 0.7500 0.1023
Se 0.3178 0.2500 0.2263
Se 0.8178 0.2500 0.2737
Se 0.5021 0.7500 0.3977
Se 0.1188 0.2500 0.4213
Se 0.8812 0.7500 0.5787
Se 0.4979 0.2500 0.6023
Se 0.1822 0.7500 0.7263
Se 0.6822 0.7500 0.7737
Se 0.9979 0.2500 0.8977
Se 0.3812 0.7500 0.9213
Sr 0.5796 0.7500 0.2183
Sr 0.0796 0.7500 0.2817
Sr 0.9204 0.2500 0.7183
Sr 0.4204 0.2500 0.7817
Zn 0.8658 0.2500 0.1369
Zn 0.3658 0.2500 0.3631
Zn 0.6342 0.7500 0.6369
Zn 0.1342 0.7500 0.8631


VASP calculation (PBE-GGA) on crystalline BaSrZnSe3 at its relaxed geometry.

## Properties
- calculated density (g/cm3) = 4.98
- space-group type = Pnma (62)

Lattice parameters (Å, degrees): 9.5250 4.3789 16.8642 90.00 90.00 90.00
Element x y z (fractional)
Ba 0.0768 0.7500 0.2058
Ba 0.5768 0.7500 0.2942
Ba 0.4232 0.2500 0.7058
Ba 0.9232 0.2500 0.7942
Se 0.1418 0.2500 0.0588
Se 0.4974 0.7500 0.1013
Se 0.8142 0.2500 0.2206
Se 0.3142 0.2500 0.2794
Se 0.9974 0.7500 0.3987
Se 0.6418 0.2500 0.4412
Se 0.3582 0.7500 0.5588
Se 0.0026 0.2500 0.6013
Se 0.6858 0.7500 0.7206
Se 0.1858 0.7500 0.7794
Se 0.5026 0.2500 0.8987
Se 0.8582 0.7500 0.9412
Sr 0.7206 0.2500 0.0421
Sr 0.2206 0.2500 0.4579
Sr 0.7794 0.7500 0.5421
Sr 0.2794 0.7500 0.9579
Zn 0.3626 0.2500 0.1347
Zn 0.8626 0.2500 0.3653
Zn 0.1374 0.7500 0.6347
Zn 0.6374 0.7500 0.8653


VASP calculation (PBE-GGA) on crystalline Ba3Ta2Se9 at its relaxed geometry.

## Properties
- calculated density (g/cm3) = 5.99
- space-group type = P2_1/c (14)

Lattice parameters (Å, degrees): 7.4225 12.5503 17.8212 90.00 97.25 90.00
Element x y z (fractional)
Ba 0.7533 0.9389 0.0807
Ba 0.2391 0.4118 0.0813
Ba 0.2547 0.7493 0.2478
Ba 0.7453 0.2493 0.2522
Ba 0.7609 0.9118 0.4187
Ba 0.2467 0.4389 0.4193
Ba 0.7533 0.5611 0.5807
Ba 0.2391 0.0882 0.5813
Ba 0.2547 0.7507 0.7478
Ba 0.7453 0.2507 0.7522
Ba 0.7609 0.5882 0.9187
Ba 0.2467 0.0611 0.9193
Se 0.6821 0.4228 0.0639
Se 0.1955 0.9142 0.0710
Se 0.4898 0.1595 0.0819
Se 0.0151 0.6483 0.0831
Se 0.0103 0.1928 0.1177
Se 0.5463 0.7125 0.1219
Se 0.5021 0.4882 0.2426
Se 0.0027 0.9765 0.2470
Se 0.7626 0.7294 0.2483
Se 0.2374 0.2294 0.2517
Se 0.9973 0.4765 0.2530
Se 0.4979 0.9882 0.2574
Se 0.4537 0.2125 0.3781
Se 0.9897 0.6928 0.3823
Se 0.9849 0.1483 0.4169
Se 0.5102 0.6595 0.4181
Se 0.8045 0.4142 0.4290
Se 0.3179 0.9228 0.4361
Se 0.6821 0.0772 0.5639
Se 0.1955 0.5858 0.5710
Se 0.4898 0.3405 0.5819
Se 0.0151 0.8517 0.5831
Se 0.0103 0.3072 0.6177
Se 0.5463 0.7875 0.6219
Se 0.5021 0.0118 0.7426
Se 0.0027 0.5235 0.7470
Se 0.7626 0.7706 0.7483
Se 0.2374 0.2706 0.7517
Se 0.9973 0.0235 0.7530
Se 0.4979 0.5118 0.7574
Se 0.4537 0.2875 0.8781
Se 0.9897 0.8072 0.8823
Se 0.9849 0.3517 0.9169
Se 0.5102 0.8405 0.9181
Se 0.8045 0.0858 0.9290
Se 0.3179 0.5772 0.9361
Ta 0.7869 0.5638 0.1512
Ta 0.2772 0.0655 0.1535
Ta 0.7228 0.5655 0.3465
Ta 0.2131 0.0638 0.3488
Ta 0.7869 0.9362 0.6512
Ta 0.2772 0.4345 0.6535
Ta 0.7228 0.9345 0.8465
Ta 0.2131 0.4362 0.8488


VASP calculation (PBE-GGA) on crystalline Ba2TbSe3 at its relaxed geometry.

## Properties
- calculated density (g/cm3) = 5.86
- space-group type = P-3m1 (164)

Lattice parameters (Å, degrees): 4.4188 4.4188 11.2345 90.00 90.00 120.00
Element x y z (fractional)
Ba 0.6667 0.3333 0.3223
Ba 0.3333 0.6667 0.6777
Se 0.3333 0.6667 0.1362
Se 0.0000 0.0000 0.5000
Se 0.6667 0.3333 0.8638
Tb 0.0000 0.0000 0.0000


no.,total energy (Ry per atom),volume (Å³ per atom)
1,-0.41059,30.482
2,-0.34029,34.501
3,-0.30440,28.971
4,-0.30404,29.308
5,-0.41350,29.408
6,-0.37283,31.663